No. 1
Crystalline SrI2OF at its relaxed geometry, computed with PBE.

Density of states at the Fermi level ... 1.7 states/eV per cell
Total magnetization ... 1.0 μB per formula unit
Uncorrected formation energy ... -2.9 eV/f.u.
Polymorph energy (0 for the lowest one) ... 0.000 eV/f.u.
SG ... P4/mmm, No. 123

Unit cell a=4.997 b=4.997 c=5.192 alpha=90.00 beta=90.00 gamma=90.00
Fractional positions:
Sr  0.000  0.000  0.000
I  0.000  0.500  0.500
I  0.500  0.000  0.500
O  0.500  0.500  0.000
F  0.500  0.500  0.500

=====

No. 2
Crystalline SrIO4F at its relaxed geometry, computed with PBE.

Density of states at the Fermi level ... 0.0 states/eV per cell
Total magnetization ... 0.1 μB per formula unit
Uncorrected formation energy ... -9.3 eV/f.u.
SG ... C2/m, No. 12

Unit cell a=6.291 b=6.291 c=7.518 alpha=101.10 beta=101.10 gamma=79.59
Fractional positions:
Sr  0.191  0.191  0.133
Sr  0.809  0.809  0.867
I  0.347  0.347  0.725
I  0.653  0.653  0.275
O  0.141  0.493  0.858
O  0.231  0.231  0.499
O  0.470  0.470  0.283
O  0.493  0.141  0.858
O  0.507  0.859  0.142
O  0.530  0.530  0.717
O  0.769  0.769  0.501
O  0.859  0.507  0.142
F  0.042  0.042  0.835
F  0.958  0.958  0.165